Density functional theory data (PBE) for crystalline KCdAu2 at its relaxed geometry.

calculated volume: 25.105 Å³ per atom
total DFT energy (no corrections): -2.291 eV per atom
space group: No. 123

Unit cell a=3.660 b=3.660 c=7.496 alpha=90.00 beta=90.00 gamma=89.99
Element x y z (fractional)
Au: 0.000 0.000 0.058
Au: 0.000 0.000 0.442
Cd: 0.500 0.500 0.250
K: 0.500 0.500 0.750

---

Density functional theory data (PBE) for crystalline K3Cd4Au2 at its relaxed geometry.

calculated volume: 31.304 Å³ per atom
total DFT energy (no corrections): -1.678 eV per atom
space group: No. 12

Unit cell a=5.195 b=6.487 c=9.629 alpha=107.04 beta=90.00 gamma=113.60
Element x y z (fractional)
K: 0.628 0.256 0.682
K: 0.000 0.000 0.000
K: 0.372 0.744 0.318
Cd: 0.726 0.451 0.070
Cd: 0.274 0.549 0.930
Cd: 0.887 0.773 0.577
Cd: 0.113 0.227 0.423
Au: 0.661 0.323 0.328
Au: 0.339 0.677 0.672

---

Density functional theory data (PBE) for crystalline KCdAu2 at its relaxed geometry.

calculated volume: 22.565 Å³ per atom
total DFT energy (no corrections): -2.093 eV per atom
space group: No. 166

Unit cell a=10.385 b=10.385 c=10.385 alpha=17.69 beta=17.69 gamma=17.69
Element x y z (fractional)
Au: 0.007 0.007 0.007
Au: 0.493 0.493 0.493
Cd: 0.750 0.750 0.750
K: 0.250 0.250 0.250

---

no.,magnetization (μB per cell)
1,0.0
2,0.0
3,0.0